Entry 1:
DFT (PBE-GGA) results for crystalline Li2ZnPtPb at its relaxed geometry.

Cell: 4.525 4.525 5.127 Å, 90.00 90.00 90.00°
Space group P4/mmm (No. 123)
Inequivalent atoms, fractional coordinates:
Li1 0.000 0.500 0.000 x2
Zn1 0.000 0.000 0.000 x1
Pt1 0.500 0.500 0.500 x1
Pb1 0.000 0.000 0.500 x1

Properties
- Mass density: 7.617 g/cm3
- VASP energy: -2.63 eV/atom
- Energy of formation from the pure elements: 341 meV/atom


Entry 2:
DFT (PBE-GGA) results for crystalline Fe2HRhW at its relaxed geometry.

Cell: 3.717 3.717 3.830 Å, 90.00 90.00 90.00°
Space group P4/mmm (No. 123)
Inequivalent atoms, fractional coordinates:
Fe1 0.000 0.500 0.000 x2
H1 0.000 0.000 0.000 x1
Rh1 0.500 0.500 0.500 x1
W1 0.000 0.000 0.500 x1

Properties
- Distance to the lowest polymorph of the same formula: 54 meV per atom
- Mass density: 12.539 g/cm3
- VASP energy: -8.07 eV/atom


Entry 3:
DFT (PBE-GGA) results for crystalline Nd4BSBr2 at its relaxed geometry.

Cell: 7.057 4.041 7.712 Å, 90.00 107.69 90.00°
Space group P2/m (No. 10)
Inequivalent atoms, fractional coordinates:
Nd1 0.214 0.000 0.194 x2
Nd2 0.247 0.500 0.804 x2
B1 0.000 0.500 0.000 x1
S1 0.500 0.000 0.000 x1
Br1 0.000 0.000 0.500 x1
Br2 0.500 0.500 0.500 x1

Properties
- Mass density: 6.179 g/cm3
- VASP energy: -5.40 eV/atom


Entry 4:
DFT (PBE-GGA) results for crystalline Hf2MgHgPt at its relaxed geometry.

Cell: 5.057 5.057 5.212 Å, 90.00 90.00 90.00°
Space group P4/mmm (No. 123)
Inequivalent atoms, fractional coordinates:
Hf1 0.000 0.500 0.000 x2
Mg1 0.000 0.000 0.500 x1
Hg1 0.500 0.500 0.500 x1
Pt1 0.500 0.500 0.000 x1

Properties
- Mass density: 9.679 g/cm3
- VASP energy: -5.26 eV/atom
- Energy of formation from the pure elements: 312 meV/atom


Entry 5:
DFT (PBE-GGA) results for crystalline TbErCoAg at its relaxed geometry.

Cell: 6.972 6.972 6.972 Å, 90.00 90.00 90.00°
Space group F-43m (No. 216)
Inequivalent atoms, fractional coordinates:
Tb1 0.000 0.000 0.000 x4
Er1 0.000 0.000 0.500 x4
Co1 0.250 0.250 0.750 x4
Ag1 0.250 0.250 0.250 x4

Properties
- Distance to the lowest polymorph of the same formula: 65 meV per atom
- Mass density: 9.664 g/cm3
- VASP energy: -4.97 eV/atom
- Energy of formation from the pure elements: -185 meV/atom


Entry 6:
DFT (PBE-GGA) results for crystalline ErBeCo at its relaxed geometry.

Cell: 3.7797 3.7797 3.8244 Å, 90.00 90.00 120.00°
Space group P-6m2 (No. 187)
Inequivalent atoms, fractional coordinates:
Er1 0.0000 0.0000 0.0000 x1
Be1 0.3333 0.6667 0.5000 x1
Co1 0.6667 0.3333 0.5000 x1

Properties
- Distance to the lowest polymorph of the same formula: 68 meV per atom
- Mass density: 8.254 g/cm3
- VASP energy: -5.32 eV/atom
- Energy of formation from the pure elements: -185 meV/atom


Entry 7:
DFT (PBE-GGA) results for crystalline KSb2Se at its relaxed geometry.

Cell: 11.689 3.989 5.746 Å, 90.00 107.60 90.00°
Space group C2/m (No. 12)
Inequivalent atoms, fractional coordinates:
K1 0.000 0.000 0.000 x2
Sb1 0.207 0.000 0.638 x4
Se1 0.000 0.500 0.500 x2

Properties
- Distance to the lowest polymorph of the same formula: 37 meV per atom
- Mass density: 4.702 g/cm3
- VASP energy: -3.53 eV/atom


Entry 8:
DFT (PBE-GGA) results for crystalline Tl2POs at its relaxed geometry.

Cell: 4.025 3.428 5.916 Å, 90.00 101.96 90.00°
Space group P2/m (No. 10)
Inequivalent atoms, fractional coordinates:
Tl1 0.019 0.000 0.247 x2
P1 0.500 0.500 0.500 x1
Os1 0.500 0.500 0.000 x1

Properties
- Distance to the lowest polymorph of the same formula: 874 meV per atom
- Mass density: 13.099 g/cm3
- VASP energy: -4.31 eV/atom
- Energy of formation from the pure elements: 1032 meV/atom


Entry 9:
DFT (PBE-GGA) results for crystalline Li3GeF at its relaxed geometry.

Cell: 4.031 4.031 4.031 Å, 90.00 90.00 90.00°
Space group Pm-3m (No. 221)
Inequivalent atoms, fractional coordinates:
Li1 0.000 0.000 0.500 x3
Ge1 0.500 0.500 0.500 x1
F1 0.000 0.000 0.000 x1

Properties
- Distance to the lowest polymorph of the same formula: 0 meV per atom
- Mass density: 2.850 g/cm3
- VASP energy: -3.64 eV/atom


Entry 10:
DFT (PBE-GGA) results for crystalline MgSi2Ru at its relaxed geometry.

Cell: 3.116 4.854 8.187 Å, 90.00 90.00 90.00°
Space group Cmmm (No. 65)
Inequivalent atoms, fractional coordinates:
Mg1 0.000 0.000 0.000 x2
Si1 0.000 0.500 0.275 x4
Ru1 0.000 0.000 0.500 x2

Properties
- Mass density: 4.869 g/cm3
- VASP energy: -5.40 eV/atom


Entry 11:
DFT (PBE-GGA) results for crystalline V3As2 at its relaxed geometry.

Cell: 9.438 9.438 3.298 Å, 90.00 90.00 90.00°
Space group P4/m (No. 83)
Inequivalent atoms, fractional coordinates:
V1 0.000 0.000 0.000 x1
V2 0.000 0.500 0.000 x2
V3 0.102 0.784 0.500 x4
V4 0.322 0.368 0.000 x4
V5 0.500 0.500 0.500 x1
As1 0.090 0.255 0.000 x4
As2 0.214 0.539 0.500 x4

Properties
- Mass density: 6.843 g/cm3
- VASP energy: -7.81 eV/atom
- Energy of formation from the pure elements: -477 meV/atom


Entry 12:
DFT (PBE-GGA) results for crystalline Be2CuBr at its relaxed geometry.

Cell: 4.977 7.336 3.050 Å, 90.00 90.00 90.00°
Space group Cmmm (No. 65)
Inequivalent atoms, fractional coordinates:
Be1 0.250 0.250 0.000 x4
Cu1 0.000 0.000 0.500 x2
Br1 0.000 0.500 0.500 x2

Properties
- Distance to the lowest polymorph of the same formula: 577 meV per atom
- Mass density: 4.816 g/cm3
- VASP energy: -2.61 eV/atom


Entry 13:
DFT (PBE-GGA) results for crystalline SnH2Cl6 at its relaxed geometry.

Cell: 13.795 15.331 6.327 Å, 90.00 111.89 90.00°
Space group C2/c (No. 15)
Inequivalent atoms, fractional coordinates:
Sn1 0.000 0.198 0.250 x4
H1 0.227 0.429 0.569 x8
Cl1 0.103 0.281 0.111 x8
Cl2 0.108 0.109 0.541 x8
Cl3 0.172 0.430 0.695 x8

Properties
- Distance to the lowest polymorph of the same formula: 0 meV per atom
- Mass density: 1.784 g/cm3
- VASP energy: -3.16 eV/atom